1.
Material: Rb2NpPaTe4
Method: DFT, GGA-PBE
State: relaxed

It has space group P2/m (No. 10), with a = 7.8196 Å, b = 4.5055 Å, c = 9.0550 Å, α = 90.00°, β = 106.59° and γ = 90.00°. Symmetry generates all atoms from Rb at (0.0000, 0.0000, 0.0000), Rb at (0.5000, 0.5000, 0.0000), Np at (0.0000, 0.5000, 0.5000), Pa at (0.5000, 0.0000, 0.5000), Te at (0.2386, 0.0000, 0.7035) and Te at (0.2686, 0.5000, 0.2960).

The value obtained for the total energy is -5.520 eV per atom.

---

2.
Material: Rb4Np3PaTe8
Method: DFT, GGA-PBE
State: relaxed

It has space group R-3m (No. 166, hexagonal axes), with a = 9.1139 Å, b = 9.1139 Å, c = 25.8032 Å, α = 90.00°, β = 90.00° and γ = 120.00°. Symmetry generates all atoms from Rb at (0.0000, 0.0000, 0.0000), Rb at (0.0000, 0.5000, 0.0000), Np at (0.0000, 0.5000, 0.5000), Pa at (0.0000, 0.0000, 0.5000), Te at (0.0000, 0.0000, 0.2339) and Te at (0.0048, 0.5024, 0.2340).

The value obtained for the total energy is -5.730 eV per atom.

---

3.
Material: NpPaRe4
Method: DFT, GGA-PBE
State: relaxed

It has space group F-43m (No. 216), with a = 7.6441 Å, b = 7.6441 Å, c = 7.6441 Å, α = 90.00°, β = 90.00° and γ = 90.00°. Symmetry generates all atoms from Np at (0.0000, 0.0000, 0.0000), Pa at (0.2500, 0.2500, 0.2500) and Re at (0.1252, 0.1252, 0.6252).

The formation energy comes out at 8.5 kJ/mol of formula units.

---

| no. | size of the total moment (μB/f.u.) | volume (Å³/f.u.) |
| --- | --- | --- |
| 1 | 6.01 | 305.7 |
| 2 | 14.00 | 618.7 |
| 3 | 3.24 | 111.7 |